w | The following is a GGA-PBE calculation of a relaxed structure of Tb4S3N, from the Alexandria database. Values from VASP.

Summary:
Its space group is Pm-3m. The value obtained for the density of states at the Fermi level is 0.296 states/eV/atom.

Structure (Quantum ESPRESSO input):
```
&SYSTEM
  ibrav = 0, nat = 8, ntyp = 3
/
ATOMIC_SPECIES
Tb 158.93 Tb.upf
S 32.06 S.upf
N 14.01 N.upf
ATOMIC_POSITIONS angstrom
Tb 0.000 0.000 0.000
Tb 0.000 2.711 2.711
Tb 2.711 0.000 2.711
Tb 2.711 2.711 0.000
S 0.000 0.000 2.711
S 0.000 2.711 0.000
S 2.711 0.000 0.000
N 2.711 2.711 2.711
CELL_PARAMETERS angstrom
5.422 0.000 0.000
0.000 5.422 0.000
0.000 0.000 5.422
```

---

x | The following is a GGA-PBE calculation of a relaxed structure of Tb4S3N, from the Alexandria database. Values from VASP.

Summary:
Its space group is Cmmm. The value obtained for the density of states at the Fermi level is 0.388 states/eV/atom.

Structure (Quantum ESPRESSO input):
```
&SYSTEM
  ibrav = 0, nat = 16, ntyp = 3
/
ATOMIC_SPECIES
Tb 158.93 Tb.upf
S 32.06 S.upf
N 14.01 N.upf
ATOMIC_POSITIONS angstrom
Tb 0.000 2.486 0.000
Tb 0.000 8.366 0.000
Tb 1.689 0.000 1.887
Tb 2.201 5.426 1.887
Tb 3.890 2.940 0.000
Tb 3.890 7.912 0.000
Tb 5.579 5.426 1.887
Tb 6.091 0.000 1.887
S 0.000 5.426 0.000
S 1.945 2.713 1.887
S 1.945 8.139 1.887
S 3.890 0.000 0.000
S 5.835 2.713 1.887
S 5.835 8.139 1.887
N 0.000 0.000 0.000
N 3.890 5.426 0.000
CELL_PARAMETERS angstrom
7.780 0.000 0.000
0.000 10.852 0.000
0.000 0.000 3.774
```

---

Of them, x has the highest stability.

---

w | The following is a GGA-PBE calculation of a relaxed structure of Tb2SN, from the Alexandria database. Values from VASP.

Summary:
Its space group is R-3m. The value obtained for the density of states at the Fermi level is 0.288 states/eV/atom.

Structure (Quantum ESPRESSO input):
```
&SYSTEM
  ibrav = 0, nat = 12, ntyp = 3
/
ATOMIC_SPECIES
Tb 158.93 Tb.upf
S 32.06 S.upf
N 14.01 N.upf
ATOMIC_POSITIONS angstrom
Tb 0.000 0.000 4.475
Tb 0.000 0.000 14.453
Tb 0.000 2.103 8.144
Tb 0.000 2.103 17.093
Tb 1.821 1.051 1.835
Tb 1.821 1.051 10.784
S 0.000 0.000 0.000
S 0.000 2.103 12.619
S 1.821 1.051 6.309
N 0.000 0.000 9.464
N 0.000 2.103 3.155
N 1.821 1.051 15.773
CELL_PARAMETERS angstrom
3.642 0.000 0.000
-1.821 3.154 0.000
0.000 0.000 18.928
```

---

x | The following is a GGA-PBE calculation of a relaxed structure of Tb2SN, from the Alexandria database. Values from VASP.

Summary:
Its space group is Pmn2_1. The value obtained for the density of states at the Fermi level is 0.298 states/eV/atom.

Structure (Quantum ESPRESSO input):
```
&SYSTEM
  ibrav = 0, nat = 8, ntyp = 3
/
ATOMIC_SPECIES
Tb 158.93 Tb.upf
S 32.06 S.upf
N 14.01 N.upf
ATOMIC_POSITIONS angstrom
Tb 0.000 0.736 0.000
Tb 0.000 5.333 5.120
Tb 1.939 2.918 2.217
Tb 1.939 7.516 2.903
S 0.000 2.817 4.089
S 1.939 5.434 1.186
N 0.000 7.356 4.154
N 1.939 0.895 1.251
CELL_PARAMETERS angstrom
3.879 0.000 0.000
0.000 8.251 0.000
0.000 0.000 5.807
```

---

y | The following is a GGA-PBE calculation of a relaxed structure of Tb2SN, from the Alexandria database. Values from VASP.

Summary:
Its space group is R3m. The value obtained for the density of states at the Fermi level is 0.530 states/eV/atom.

Structure (Quantum ESPRESSO input):
```
&SYSTEM
  ibrav = 0, nat = 12, ntyp = 3
/
ATOMIC_SPECIES
Tb 158.93 Tb.upf
S 32.06 S.upf
N 14.01 N.upf
ATOMIC_POSITIONS angstrom
Tb 0.000 0.000 0.000
Tb 0.000 0.000 3.804
Tb 0.000 2.087 12.940
Tb 0.000 2.087 16.743
Tb 1.807 1.043 6.470
Tb 1.807 1.043 10.274
S 0.000 0.000 14.843
S 0.000 2.087 8.373
S 1.807 1.043 1.903
N 0.000 0.000 11.536
N 0.000 2.087 5.066
N 1.807 1.043 18.006
CELL_PARAMETERS angstrom
3.614 0.000 0.000
-1.807 3.130 0.000
0.000 0.000 19.410
```

---

Of them, w has the highest stability.

---

w | The following is a GGA-PBE calculation of a relaxed structure of Tc2SN2, from the Alexandria database. Values from VASP.

Summary:
Its space group is I4/mmm. The value obtained for the density of states at the Fermi level is 0.344 states/eV/atom.

Structure (Quantum ESPRESSO input):
```
&SYSTEM
  ibrav = 0, nat = 10, ntyp = 3
/
ATOMIC_SPECIES
Tc 98.00 Tc.upf
S 32.06 S.upf
N 14.01 N.upf
ATOMIC_POSITIONS angstrom
Tc 0.000 1.930 2.034
Tc 0.000 1.930 6.102
Tc 1.930 0.000 2.034
Tc 1.930 0.000 6.102
S 0.000 0.000 0.000
S 1.930 1.930 4.068
N 0.000 0.000 2.790
N 0.000 0.000 5.345
N 1.930 1.930 1.278
N 1.930 1.930 6.858
CELL_PARAMETERS angstrom
3.859 0.000 0.000
0.000 3.859 0.000
0.000 0.000 8.135
```

---

x | The following is a GGA-PBE calculation of a relaxed structure of Tc2SN2, from the Alexandria database. Values from VASP.

Summary:
Its space group is P4/mbm. The value obtained for the density of states at the Fermi level is 0.852 states/eV/atom.

Structure (Quantum ESPRESSO input):
```
&SYSTEM
  ibrav = 0, nat = 10, ntyp = 3
/
ATOMIC_SPECIES
Tc 98.00 Tc.upf
S 32.06 S.upf
N 14.01 N.upf
ATOMIC_POSITIONS angstrom
Tc 0.980 2.203 0.000
Tc 2.203 5.385 0.000
Tc 4.163 0.980 0.000
Tc 5.385 4.163 0.000
S 0.000 0.000 1.339
S 3.183 3.183 1.339
N 0.779 3.962 1.339
N 2.404 0.779 1.339
N 3.962 5.587 1.339
N 5.587 2.404 1.339
CELL_PARAMETERS angstrom
6.366 0.000 0.000
0.000 6.366 0.000
0.000 0.000 2.677
```

---

Of them, w has the highest stability.

---

w | The following is a GGA-PBE calculation of a relaxed structure of TcS3N, from the Alexandria database. Values from VASP.

Summary:
Its space group is Pm-3m. The value obtained for the density of states at the Fermi level is 0.915 states/eV/atom.

Structure (Quantum ESPRESSO input):
```
&SYSTEM
  ibrav = 0, nat = 5, ntyp = 3
/
ATOMIC_SPECIES
Tc 98.00 Tc.upf
S 32.06 S.upf
N 14.01 N.upf
ATOMIC_POSITIONS angstrom
Tc 0.000 0.000 0.000
S 0.000 0.000 2.313
S 0.000 2.313 0.000
S 2.313 0.000 0.000
N 2.313 2.313 2.313
CELL_PARAMETERS angstrom
4.626 0.000 0.000
0.000 4.626 0.000
0.000 0.000 4.626
```

---

x | The following is a GGA-PBE calculation of a relaxed structure of TcS3N, from the Alexandria database. Values from VASP.

Summary:
Its space group is Pm-3m. The value obtained for the density of states at the Fermi level is 0.875 states/eV/atom.

Structure (Quantum ESPRESSO input):
```
&SYSTEM
  ibrav = 0, nat = 5, ntyp = 3
/
ATOMIC_SPECIES
Tc 98.00 Tc.upf
S 32.06 S.upf
N 14.01 N.upf
ATOMIC_POSITIONS angstrom
Tc 0.000 0.000 0.000
S 0.000 2.003 2.003
S 2.003 0.000 2.003
S 2.003 2.003 0.000
N 2.003 2.003 2.003
CELL_PARAMETERS angstrom
4.007 0.000 0.000
0.000 4.007 0.000
0.000 0.000 4.007
```

---

Of them, x has the highest stability.

---

w | The following is a GGA-PBE calculation of a relaxed structure of TcS2N2, from the Alexandria database. Values from VASP.

Summary:
Its space group is P4/mmm. The value obtained for the density of states at the Fermi level is 0.638 states/eV/atom.

Structure (Quantum ESPRESSO input):
```
&SYSTEM
  ibrav = 0, nat = 5, ntyp = 3
/
ATOMIC_SPECIES
Tc 98.00 Tc.upf
S 32.06 S.upf
N 14.01 N.upf
ATOMIC_POSITIONS angstrom
Tc 0.000 0.000 0.000
S 0.000 0.000 2.640
S 1.880 1.880 2.640
N 0.000 1.880 0.000
N 1.880 0.000 0.000
CELL_PARAMETERS angstrom
3.759 0.000 0.000
0.000 3.759 0.000
0.000 0.000 5.281
```

---

x | The following is a GGA-PBE calculation of a relaxed structure of TcS2N2, from the Alexandria database. Values from VASP.

Summary:
Its space group is P4/mmm. The value obtained for the density of states at the Fermi level is 0.754 states/eV/atom.

Structure (Quantum ESPRESSO input):
```
&SYSTEM
  ibrav = 0, nat = 5, ntyp = 3
/
ATOMIC_SPECIES
Tc 98.00 Tc.upf
S 32.06 S.upf
N 14.01 N.upf
ATOMIC_POSITIONS angstrom
Tc 0.000 0.000 0.000
S 1.774 1.774 0.000
S 1.774 1.774 2.347
N 0.000 1.774 2.347
N 1.774 0.000 2.347
CELL_PARAMETERS angstrom
3.548 0.000 0.000
0.000 3.548 0.000
0.000 0.000 4.694
```

---

y | The following is a GGA-PBE calculation of a relaxed structure of TcS2N2, from the Alexandria database. Values from VASP.

Summary:
Its space group is I4/mmm. The value obtained for the density of states at the Fermi level is 0.609 states/eV/atom.

Structure (Quantum ESPRESSO input):
```
&SYSTEM
  ibrav = 0, nat = 10, ntyp = 3
/
ATOMIC_SPECIES
Tc 98.00 Tc.upf
S 32.06 S.upf
N 14.01 N.upf
ATOMIC_POSITIONS angstrom
Tc 0.000 0.000 0.000
Tc 1.660 1.660 4.960
S 0.000 0.000 3.461
S 0.000 0.000 6.459
S 1.660 1.660 1.499
S 1.660 1.660 8.420
N 0.000 1.660 2.480
N 0.000 1.660 7.440
N 1.660 0.000 2.480
N 1.660 0.000 7.440
CELL_PARAMETERS angstrom
3.319 0.000 0.000
0.000 3.319 0.000
0.000 0.000 9.919
```

---

Of them, w has the highest stability.

---

w | The following is a GGA-PBE calculation of a relaxed structure of TcS2N2, from the Alexandria database. Values from VASP.

Summary:
Its space group is P4/mbm. The value obtained for the density of states at the Fermi level is 0.716 states/eV/atom.

Structure (Quantum ESPRESSO input):
```
&SYSTEM
  ibrav = 0, nat = 10, ntyp = 3
/
ATOMIC_SPECIES
Tc 98.00 Tc.upf
S 32.06 S.upf
N 14.01 N.upf
ATOMIC_POSITIONS angstrom
Tc 0.000 0.000 0.000
Tc 3.350 3.350 0.000
S 1.206 2.144 0.000
S 2.144 5.494 0.000
S 4.556 1.206 0.000
S 5.494 4.556 0.000
N 1.467 4.817 1.465
N 1.883 1.467 1.465
N 4.817 5.233 1.465
N 5.233 1.883 1.465
CELL_PARAMETERS angstrom
6.700 0.000 0.000
0.000 6.700 0.000
0.000 0.000 2.930
```

---

x | The following is a GGA-PBE calculation of a relaxed structure of TcS2N2, from the Alexandria database. Values from VASP.

Summary:
Its space group is P4/mmm. The value obtained for the density of states at the Fermi level is 0.765 states/eV/atom.

Structure (Quantum ESPRESSO input):
```
&SYSTEM
  ibrav = 0, nat = 5, ntyp = 3
/
ATOMIC_SPECIES
Tc 98.00 Tc.upf
S 32.06 S.upf
N 14.01 N.upf
ATOMIC_POSITIONS angstrom
Tc 0.000 0.000 0.000
S 0.000 2.366 0.000
S 2.366 0.000 0.000
N 0.000 0.000 1.869
N 2.366 2.366 1.869
CELL_PARAMETERS angstrom
4.732 0.000 0.000
0.000 4.732 0.000
0.000 0.000 3.738
```

---

y | The following is a GGA-PBE calculation of a relaxed structure of TcS2N2, from the Alexandria database. Values from VASP.

Summary:
Its space group is P4/mmm. The value obtained for the density of states at the Fermi level is 0.530 states/eV/atom.

Structure (Quantum ESPRESSO input):
```
&SYSTEM
  ibrav = 0, nat = 5, ntyp = 3
/
ATOMIC_SPECIES
Tc 98.00 Tc.upf
S 32.06 S.upf
N 14.01 N.upf
ATOMIC_POSITIONS angstrom
Tc 0.000 0.000 0.000
S 0.000 1.920 1.889
S 1.920 0.000 1.889
N 1.920 1.920 0.000
N 1.920 1.920 1.889
CELL_PARAMETERS angstrom
3.840 0.000 0.000
0.000 3.840 0.000
0.000 0.000 3.778
```

---

Of them, w has the highest stability.